VASP calculation (GGA-PBE) on a geometry-optimized Cs2KScCl6 structure.

Structure (CIF):
```
data_Cs2KScCl6
_chemical_formula_sum 'Cs2 K1 Sc1 Cl6'
_cell_length_a 7.8272
_cell_length_b 7.8272
_cell_length_c 7.8272
_cell_angle_alpha 60.00
_cell_angle_beta 60.00
_cell_angle_gamma 60.00
_space_group_name_H-M_alt 'P 1'
_space_group_IT_number 1
_space_group_name_Hall 'P 1'
loop_
_atom_site_label
_atom_site_fract_x
_atom_site_fract_y
_atom_site_fract_z
_atom_site_occupancy
Cs1 0.7500 0.7500 0.7500 1
Cs2 0.2500 0.2500 0.2500 1
K1 0.5000 0.5000 0.5000 1
Sc1 0.0000 0.0000 0.0000 1
Cl1 0.7738 0.2262 0.2262 1
Cl2 0.2262 0.2262 0.7738 1
Cl3 0.2262 0.7738 0.7738 1
Cl4 0.2262 0.7738 0.2262 1
Cl5 0.7738 0.2262 0.7738 1
Cl6 0.7738 0.7738 0.2262 1
```

Values from the calculation:
Spin magnetization = 0.00 μB per formula unit
Formation energy without anion corrections = -2.098 eV per atom